A | Crystalline K2TlCuCl6 at its relaxed geometry, computed with GGA-PBE.

## Properties
DOS at the Fermi energy = 3.046 states/eV/f.u.

a = 7.2881 Å, b = 7.2881 Å, c = 7.2881 Å
α = 60.00°, β = 60.00°, γ = 60.00°
Sites, in units of the cell vectors:
K1 0.2500 0.2500 0.2500
K2 0.7500 0.7500 0.7500
Tl1 0.0000 0.0000 0.0000
Cu1 0.5000 0.5000 0.5000
Cl1 0.2625 0.2625 0.7375
Cl2 0.2625 0.7375 0.2625
Cl3 0.2625 0.7375 0.7375
Cl4 0.7375 0.2625 0.2625
Cl5 0.7375 0.2625 0.7375
Cl6 0.7375 0.7375 0.2625



B | Crystalline K2TlCuCl6 at its relaxed geometry, computed with GGA-PBE.

## Properties
DOS at the Fermi energy = 0.978 states/eV/f.u.

a = 6.9983 Å, b = 7.3749 Å, c = 12.4693 Å
α = 90.00°, β = 122.99°, γ = 90.00°
Sites, in units of the cell vectors:
K1 0.2267 0.0630 0.2477
K2 0.2267 0.4370 0.7477
K3 0.7733 0.5630 0.2523
K4 0.7733 0.9370 0.7523
Tl1 0.5000 0.0000 0.0000
Tl2 0.5000 0.5000 0.5000
Cu1 0.0000 0.0000 0.5000
Cu2 0.0000 0.5000 0.0000
Cl1 0.1637 0.2113 0.9679
Cl2 0.1637 0.2887 0.4679
Cl3 0.2381 0.6770 0.9671
Cl4 0.2381 0.8230 0.4671
Cl5 0.3098 0.0022 0.7470
Cl6 0.3098 0.4978 0.2470
Cl7 0.6902 0.5022 0.7530
Cl8 0.6902 0.9978 0.2530
Cl9 0.7619 0.1770 0.5329
Cl10 0.7619 0.3230 0.0329
Cl11 0.8363 0.7113 0.5321
Cl12 0.8363 0.7887 0.0321



List of relative energies, unit eV/atom: A 0.014; B 0.000